Record 1
# YBrCl

A PBEsol-optimized structure of YBrCl (SCAN, the Alexandria database).

crystal system: cubic
symmetry: F-43m
theoretical density: 4.3 g/cm³
VASP energy: -19.5666 eV/atom

a b c (Å): 4.8166 4.8166 4.8166
angles (deg): 60.00 60.00 60.00
Element x y z (fractional)
Y 0.0000 0.0000 0.0000
Br 0.7500 0.7500 0.7500
Cl 0.5000 0.5000 0.5000

=====

Record 2
# TlMoP2Cl

A PBEsol-optimized structure of TlMoP2Cl (SCAN, the Alexandria database).

crystal system: tetragonal
symmetry: P4/mmm
theoretical density: 5.2 g/cm³
VASP energy: -25.8044 eV/atom

a b c (Å): 4.9951 4.9951 5.0992
angles (deg): 90.00 90.00 90.00
Element x y z (fractional)
Tl 0.0000 0.0000 0.0000
Mo 0.5000 0.5000 0.5000
P 0.0000 0.5000 0.0000
P 0.5000 0.0000 0.0000
Cl 0.0000 0.0000 0.5000

=====

Record 3
# Cs2MnCl6

A PBEsol-optimized structure of Cs2MnCl6 (SCAN, the Alexandria database).

crystal system: cubic
symmetry: Fm-3m
theoretical density: 3.4 g/cm³
VASP energy: -17.4760 eV/atom

a b c (Å): 7.1437 7.1437 7.1437
angles (deg): 60.00 60.00 60.00
Element x y z (fractional)
Cs 0.2500 0.2500 0.2500
Cs 0.7500 0.7500 0.7500
Mn 0.0000 0.0000 0.0000
Cl 0.2240 0.2240 0.7760
Cl 0.2240 0.7760 0.2240
Cl 0.2240 0.7760 0.7760
Cl 0.7760 0.2240 0.2240
Cl 0.7760 0.2240 0.7760
Cl 0.7760 0.7760 0.2240

=====

Record 4
# Rb2SiAgSb

A PBEsol-optimized structure of Rb2SiAgSb (SCAN, the Alexandria database).

crystal system: tetragonal
symmetry: P4/mmm
theoretical density: 2.9 g/cm³
VASP energy: -23.5214 eV/atom

a b c (Å): 6.9364 6.9364 5.0354
angles (deg): 90.00 90.00 90.00
Element x y z (fractional)
Rb 0.0000 0.5000 0.0000
Rb 0.5000 0.0000 0.0000
Si 0.0000 0.0000 0.5000
Ag 0.5000 0.5000 0.5000
Sb 0.5000 0.5000 0.0000